Compound: LiAl6Zn3
Source: Alexandria via LeMat-Bulk
Functional: PBE-GGA
Structure: relaxed

```
20
Lattice="-1.4551 -7.0033 1.6418 6.5844 1.5780 2.8311 -4.9340 4.1339 3.5249" Properties=species:S:1:pos:R:3 pbc="T T T"
Al -2.5333 2.8437 2.9305
Al 2.7599 -1.3196 4.3835
Al 4.1875 0.2361 2.3455
Al 1.9318 1.4166 3.7288
Zn -1.4951 -0.4615 6.0744
Al -1.7366 -2.7080 4.2690
Al -1.4824 -4.2166 1.7649
Zn -1.2142 -1.4848 1.8885
Al 0.8859 -3.1184 3.0221
Al 1.6776 2.9253 6.2329
Zn -0.3265 1.3245 2.3205
Al -3.9923 -1.5275 5.6524
Al -0.6908 1.8271 4.9757
Al 2.7285 -4.1351 5.0673
Li 0.0000 0.0000 0.0000
Al -2.5648 0.0282 3.6144
Zn 1.6903 -0.8299 1.9234
Li 0.0976 -0.6457 3.9989
Zn 0.5216 -2.6159 5.6774
Zn 1.4094 0.1934 6.1093
```

Output
magnetic moment: 0.00 μB per formula unit
formation enthalpy at 0 K: 7 meV/atom
calculated density: 3.71 g cm⁻³